No. 1
VASP calculation (PBE-GGA) on an optimized crystal structure of BaPm4In3O12.

Summary:
Total magnetic moment ... 1.169 μB per formula unit
Total energy ... -136.6 eV per cell

Unit cell a=7.485 b=7.485 c=7.485 alpha=109.47 beta=109.47 gamma=109.47
Sites, in units of the cell vectors:
Pm (0.000, 0.500, 0.000)
O (0.164, 0.847, 0.683)
O (0.519, 0.683, 0.836)
O (0.683, 0.836, 0.519)
In (0.500, 0.000, 0.500)
O (0.836, 0.519, 0.683)
In (0.500, 0.500, 0.000)
O (0.481, 0.317, 0.164)
Pm (0.500, 0.500, 0.500)
Pm (0.000, 0.000, 0.500)
Ba (0.000, 0.000, 0.000)
O (0.836, 0.153, 0.317)
O (0.153, 0.317, 0.836)
O (0.847, 0.683, 0.164)
In (0.000, 0.500, 0.500)
Pm (0.500, 0.000, 0.000)
O (0.164, 0.481, 0.317)
O (0.317, 0.836, 0.153)
O (0.317, 0.164, 0.481)
O (0.683, 0.164, 0.847)


No. 2
VASP calculation (PBE-GGA) on an optimized crystal structure of Y2ZnCdN.

Summary:
Total magnetic moment ... 0.000 μB per formula unit
Total energy ... -26.3 eV per cell

Unit cell a=4.822 b=4.822 c=4.312 alpha=90.00 beta=90.00 gamma=90.00
Sites, in units of the cell vectors:
Zn (0.000, 0.000, 0.500)
N (0.000, 0.000, 0.000)
Y (0.500, 0.000, 0.000)
Y (0.000, 0.500, 0.000)
Cd (0.500, 0.500, 0.500)


No. 3
VASP calculation (PBE-GGA) on an optimized crystal structure of Be2AgW.

Summary:
Energy above the most stable polymorph in this dataset ... 0.712 eV/f.u.
Total magnetic moment ... 0.000 μB per formula unit
E_form ... 1.4 eV per formula unit

Unit cell a=4.825 b=4.825 c=4.465 alpha=73.38 beta=73.38 gamma=31.07
Sites, in units of the cell vectors:
Be (0.728, 0.728, 0.704)
Ag (0.267, 0.267, 0.186)
W (0.481, 0.481, 0.572)
Be (0.024, 0.024, 0.038)


No. 4
VASP calculation (PBE-GGA) on an optimized crystal structure of LaScAl.

Summary:
Energy above the most stable polymorph in this dataset ... 0.222 eV/f.u.
Total magnetic moment ... 0.000 μB per formula unit
E_form ... -0.5 eV per formula unit

Unit cell a=5.036 b=5.036 c=3.689 alpha=90.00 beta=90.00 gamma=120.00
Sites, in units of the cell vectors:
La (0.667, 0.333, 0.331)
Sc (0.333, 0.667, 0.819)
Al (0.000, 0.000, 0.850)


No. 5
VASP calculation (PBE-GGA) on an optimized crystal structure of ErPuTc.

Summary:
Energy above the most stable polymorph in this dataset ... 0.000 eV/f.u.
Total magnetic moment ... 5.179 μB per formula unit
E_form ... 0.0 eV per formula unit

Unit cell a=3.375 b=3.375 c=6.431 alpha=105.21 beta=105.21 gamma=90.00
Sites, in units of the cell vectors:
Er (0.023, 0.023, 0.046)
Pu (0.304, 0.304, 0.608)
Tc (0.673, 0.673, 0.346)


No. 6
VASP calculation (PBE-GGA) on an optimized crystal structure of CdRuCl2.

Summary:
Energy above the most stable polymorph in this dataset ... 0.083 eV/f.u.
Total magnetic moment ... 0.000 μB per formula unit

Unit cell a=7.140 b=7.140 c=7.140 alpha=155.16 beta=140.04 gamma=47.62
Sites, in units of the cell vectors:
Cl (0.607, 0.607, 0.000)
Cl (0.893, 0.893, 0.000)
Cd (0.250, 0.750, 0.500)
Ru (0.750, 0.250, 0.500)


No. 7
VASP calculation (PBE-GGA) on an optimized crystal structure of Al2Ag.

Summary:
Total magnetic moment ... 0.000 μB per formula unit
E_form ... 0.0 eV per formula unit

Unit cell a=2.856 b=8.699 c=4.095 alpha=90.00 beta=90.00 gamma=90.00
Sites, in units of the cell vectors:
Al (0.500, 0.167, 0.500)
Al (0.500, 0.829, 0.500)
Al (0.500, 0.504, 0.500)
Ag (0.000, 0.996, 0.000)
Ag (0.000, 0.337, 0.000)
Al (0.000, 0.667, 0.000)


No. 8
VASP calculation (PBE-GGA) on an optimized crystal structure of K2MgBr5.

Summary:
Total magnetic moment ... 0.292 μB per formula unit
Total energy ... -44.9 eV per cell

Unit cell a=5.968 b=8.717 c=13.388 alpha=90.00 beta=90.00 gamma=110.02
Sites, in units of the cell vectors:
K (0.840, 0.681, 0.416)
Br (0.034, 0.068, 0.364)
K (0.160, 0.319, 0.584)
Br (0.723, 0.446, 0.893)
K (0.160, 0.319, 0.916)
K (0.840, 0.681, 0.084)
Br (0.966, 0.932, 0.636)
Br (0.723, 0.446, 0.607)
Br (0.682, 0.363, 0.250)
Br (0.966, 0.932, 0.864)
Br (0.034, 0.068, 0.136)
Br (0.277, 0.554, 0.393)
Br (0.277, 0.554, 0.107)
Mg (0.827, 0.654, 0.750)
Mg (0.173, 0.346, 0.250)
Br (0.318, 0.637, 0.750)